(1)
This record from OQMD via LeMat-Bulk describes a relaxed Zr2ScAl crystal. The functional is PBE.

The volume comes out at 21.54 Å³/atom. The uncorrected energy comes out at -6.99 eV per atom.

POSCAR file:
```
Zr2ScAl
1.0
4.906 0.000 0.000
0.000 4.988 3.520
0.000 -4.988 3.520
Zr Sc Al
4 2 2
direct
0.250 0.106 0.894 Zr
0.250 0.157 0.389 Zr
0.750 0.389 0.157 Zr
0.750 0.894 0.106 Zr
0.250 0.673 0.461 Sc
0.750 0.461 0.673 Sc
0.250 0.618 0.951 Al
0.750 0.951 0.618 Al
```



(2)
This record from OQMD via LeMat-Bulk describes a relaxed Zr3NiAs crystal. The functional is PBE.

The volume comes out at 20.27 Å³/atom. The uncorrected energy comes out at -7.72 eV per atom.

POSCAR file:
```
Zr3NiAs
1.0
1.787 -5.858 0.000
1.787 5.858 0.000
0.000 0.000 9.683
Zr Ni As
6 2 2
direct
0.082 0.918 0.750 Zr
0.345 0.655 0.581 Zr
0.345 0.655 0.919 Zr
0.655 0.345 0.081 Zr
0.655 0.345 0.419 Zr
0.918 0.082 0.250 Zr
0.253 0.747 0.250 Ni
0.747 0.253 0.750 Ni
0.000 0.000 0.000 As
0.000 0.000 0.500 As
```



Please write out number 2 again, unchanged.
This record from OQMD via LeMat-Bulk describes a relaxed Zr3NiAs crystal. The functional is PBE.

The volume comes out at 20.27 Å³/atom. The uncorrected energy comes out at -7.72 eV per atom.

POSCAR file:
```
Zr3NiAs
1.0
1.787 -5.858 0.000
1.787 5.858 0.000
0.000 0.000 9.683
Zr Ni As
6 2 2
direct
0.082 0.918 0.750 Zr
0.345 0.655 0.581 Zr
0.345 0.655 0.919 Zr
0.655 0.345 0.081 Zr
0.655 0.345 0.419 Zr
0.918 0.082 0.250 Zr
0.253 0.747 0.250 Ni
0.747 0.253 0.750 Ni
0.000 0.000 0.000 As
0.000 0.000 0.500 As
```